Run 1
Computed, not measured: KSb2W at its PBEsol-relaxed geometry at the SCAN level of DFT.

Unit cell a=9.0915 b=9.0915 c=9.0915 alpha=158.16 beta=157.69 gamma=31.42
Atoms (fractional coordinates):
K 0.0000 0.0000 0.0000
Sb 0.3323 0.8323 0.5000
Sb 0.6411 0.6411 0.0000
W 0.7579 0.2579 0.5000

Summary:
SG: Imm2
ρ in g/cm³: 7.31



Run 2
Computed, not measured: KSb2W at its PBEsol-relaxed geometry at the SCAN level of DFT.

Unit cell a=5.0612 b=5.0612 c=5.0612 alpha=60.00 beta=60.00 gamma=60.00
Atoms (fractional coordinates):
K 0.0000 0.0000 0.0000
Sb 0.2500 0.2500 0.2500
Sb 0.5000 0.5000 0.5000
W 0.7500 0.7500 0.7500

Summary:
SG: F-43m
ρ in g/cm³: 8.45



run 1 (1.017 eV/atom below the next structure)



Run 1
Computed, not measured: K3Sc at its PBEsol-relaxed geometry at the SCAN level of DFT.

Unit cell a=14.7226 b=14.7226 c=14.7226 alpha=15.16 beta=15.16 gamma=15.16
Atoms (fractional coordinates):
K 0.0000 0.0000 0.0000
K 0.2406 0.2406 0.2406
K 0.7594 0.7594 0.7594
Sc 0.5000 0.5000 0.5000

Summary:
SG: R-3m
ρ in g/cm³: 1.42



Run 2
Computed, not measured: K3Sc at its PBEsol-relaxed geometry at the SCAN level of DFT.

Unit cell a=7.4960 b=7.4960 c=7.4960 alpha=90.00 beta=90.00 gamma=90.00
Atoms (fractional coordinates):
K 0.0000 0.0000 0.5000
K 0.0000 0.5000 0.0000
K 0.5000 0.0000 0.0000
Sc 0.0000 0.0000 0.0000

Summary:
SG: Pm-3m
ρ in g/cm³: 0.64



run 1 (0.426 eV/atom below the next structure)



Run 1
Computed, not measured: KSr2Sc at its PBEsol-relaxed geometry at the SCAN level of DFT.

Unit cell a=3.8777 b=5.7412 c=7.9810 alpha=90.00 beta=90.00 gamma=90.00
Atoms (fractional coordinates):
K 0.0000 0.0000 0.0000
Sr 0.0000 0.0000 0.4604
Sr 0.5000 0.5000 0.7277
Sc 0.5000 0.5000 0.2657

Summary:
SG: Pmm2
ρ in g/cm³: 2.42



Run 2
Computed, not measured: KSr2Sc at its PBEsol-relaxed geometry at the SCAN level of DFT.

Unit cell a=7.0820 b=7.0820 c=7.0820 alpha=134.82 beta=134.82 gamma=65.81
Atoms (fractional coordinates):
K 0.0000 0.0000 0.0000
Sr 0.2500 0.7500 0.5000
Sr 0.5000 0.5000 0.0000
Sc 0.7500 0.2500 0.5000

Summary:
SG: I-4m2
ρ in g/cm³: 2.45



run 1 (0.045 eV/atom below the next structure)



Run 1
Computed, not measured: KSc2Ta at its PBEsol-relaxed geometry at the SCAN level of DFT.

Unit cell a=5.2414 b=5.2414 c=7.7093 alpha=92.40 beta=92.40 gamma=32.78
Atoms (fractional coordinates):
K 0.0000 0.0000 0.0000
Sc 0.2397 0.2397 0.6457
Sc 0.4914 0.4914 0.4503
Ta 0.7572 0.7572 0.3357

Summary:
SG: Cm
ρ in g/cm³: 4.49



Run 2
Computed, not measured: KSc2Ta at its PBEsol-relaxed geometry at the SCAN level of DFT.

Unit cell a=3.1784 b=4.1041 c=8.6452 alpha=90.00 beta=90.00 gamma=90.00
Atoms (fractional coordinates):
K 0.0000 0.0000 0.0000
Sc 0.0000 0.0000 0.5558
Sc 0.5000 0.5000 0.3596
Ta 0.5000 0.5000 0.6909

Summary:
SG: Pmm2
ρ in g/cm³: 4.56



Run 3
Computed, not measured: KSc2Ta at its PBEsol-relaxed geometry at the SCAN level of DFT.

Unit cell a=2.9958 b=2.9958 c=11.3599 alpha=90.00 beta=90.00 gamma=90.00
Atoms (fractional coordinates):
K 0.0000 0.0000 0.0000
Sc 0.0000 0.0000 0.5369
Sc 0.5000 0.5000 0.3055
Ta 0.5000 0.5000 0.7162

Summary:
SG: P4mm
ρ in g/cm³: 5.05



run 3 (0.112 eV/atom below the next structure)



Run 1
Computed, not measured: K2ScTc at its PBEsol-relaxed geometry at the SCAN level of DFT.

Unit cell a=7.3132 b=7.3132 c=7.3132 alpha=155.42 beta=127.43 gamma=58.85
Atoms (fractional coordinates):
K 0.0000 0.0000 0.0000
K 0.6986 0.1986 0.5000
Sc 0.3768 0.3768 0.0000
Tc 0.2345 0.7345 0.5000

Summary:
SG: Imm2
ρ in g/cm³: 2.86



Run 2
Computed, not measured: K2ScTc at its PBEsol-relaxed geometry at the SCAN level of DFT.

Unit cell a=5.5047 b=5.5047 c=5.5047 alpha=60.00 beta=60.00 gamma=60.00
Atoms (fractional coordinates):
K 0.2500 0.2500 0.2500
K 0.7500 0.7500 0.7500
Sc 0.0000 0.0000 0.0000
Tc 0.5000 0.5000 0.5000

Summary:
SG: Fm-3m
ρ in g/cm³: 3.11



run 1 (0.614 eV/atom below the next structure)



Run 1
Computed, not measured: KScTl2 at its PBEsol-relaxed geometry at the SCAN level of DFT.

Unit cell a=6.6583 b=6.6583 c=6.6583 alpha=150.16 beta=130.82 gamma=58.60
Atoms (fractional coordinates):
K 0.0000 0.0000 0.0000
Sc 0.2864 0.7864 0.5000
Tl 0.5028 0.5028 0.0000
Tl 0.7329 0.2329 0.5000

Summary:
SG: Imm2
ρ in g/cm³: 7.42



Run 2
Computed, not measured: KScTl2 at its PBEsol-relaxed geometry at the SCAN level of DFT.

Unit cell a=5.3832 b=5.3832 c=5.3832 alpha=60.00 beta=60.00 gamma=60.00
Atoms (fractional coordinates):
K 0.0000 0.0000 0.0000
Sc 0.7500 0.7500 0.7500
Tl 0.2500 0.2500 0.2500
Tl 0.5000 0.5000 0.5000

Summary:
SG: F-43m
ρ in g/cm³: 7.42



Run 3
Computed, not measured: KScTl2 at its PBEsol-relaxed geometry at the SCAN level of DFT.

Unit cell a=3.6265 b=3.6265 c=8.3891 alpha=90.00 beta=90.00 gamma=90.00
Atoms (fractional coordinates):
K 0.0000 0.0000 0.0000
Sc 0.0000 0.0000 0.5000
Tl 0.5000 0.5000 0.2999
Tl 0.5000 0.5000 0.7001

Summary:
SG: P4/mmm
ρ in g/cm³: 7.42



run 3 (0.282 eV/atom below the next structure)